DFT (PBE+U) results for an optimized crystal structure of K2MnGaF6.

Geometry as extended XYZ:
```
20
Lattice="-5.212 2.232 -2.098 1.895 -0.906 -5.672 -3.404 -7.839 0.114" Properties=species:S:1:pos:R:3 pbc="T T T"
F -2.979 -1.061 -2.438
Ga 1.421 -0.679 -4.254
F -4.667 -2.696 -4.362
Ga -3.834 -3.030 -2.410
F -3.900 1.670 -1.576
Mn -2.132 0.890 -2.467
F -2.048 -3.818 -3.308
F -1.104 -4.269 -6.131
F -2.957 1.220 -4.400
K -2.080 -6.107 -1.332
Mn -0.280 -4.599 -4.197
F -1.127 -6.549 -4.168
K -3.737 -5.441 -5.217
F -0.364 0.109 -3.356
F -4.689 -4.999 -2.381
F -3.724 -3.147 -7.185
F 0.567 -2.649 -4.225
K -0.376 -2.185 -1.389
K -2.036 -1.524 -5.274
F -1.308 0.560 -0.533
```

Summary:
- magnetic moment (μB/cell) = 8.85
- uncorrected energy (eV per atom) = -4.9466